12
Lattice="-3.1357 0.0631 -5.0516 4.7167 -1.7703 -3.1582 -2.6415 -5.9757 5.1686" Properties=species:S:1:pos:R:3 comment="Pm2Si3Au PBE relaxed" final_energy_ry_per_atom=-0.41502 crystal_system=orthorhombic sg=Fmmm pbc="T T T"
Pm 1.4328 -4.2998 -1.0473
Pm 1.1976 -1.2933 -6.2192
Pm -2.4934 -3.3831 -1.9940
Pm 0.3833 -0.4140 -1.9907
Si 2.4774 -2.4372 -3.4508
Si 0.4424 -6.1751 1.3693
Si -3.5380 -5.2457 0.4095
Si -1.5030 -1.5078 -4.4105
Si -0.6058 -2.2351 0.3481
Si -0.4548 -5.4479 -3.3894
Au 0.1746 -3.1260 -3.7510
Au -1.2351 -4.5570 0.7098



4
Lattice="4.9072 0.0000 0.0000 -2.4536 4.2407 -0.0075 0.0000 -2.8298 5.2544" Properties=species:S:1:pos:R:3 comment="LiAcTlAg PBE relaxed" crystal_system=monoclinic formation_energy_ev_per_atom=-0.25 sg=Cm pbc="T T T"
Li 0.0000 -1.8180 5.0372
Ac 2.4536 -0.4032 2.6022
Tl 2.4536 2.4268 0.7139
Ag 0.0000 1.0078 4.5969



4
Lattice="2.8041 0.0000 0.0000 0.0000 2.8041 0.0000 0.0000 0.0000 6.7540" Properties=species:S:1:pos:R:3 comment="MgFe2Co PBE relaxed" crystal_system=tetragonal formation_energy_ev_per_atom=0.15 sg=P4/mmm pbc="T T T"
Co 1.4021 1.4021 5.0655
Fe 0.0000 0.0000 6.4981
Fe 0.0000 0.0000 3.6329
Mg 1.4021 1.4021 1.6885



15
Lattice="-2.0557 0.5860 8.4335 0.8858 -7.2188 4.7746 6.5912 -0.1768 5.6760" Properties=species:S:1:pos:R:3 comment="Nd8Ho6Sc PBE relaxed" crystal_system=trigonal formation_energy_ev_per_atom=0.12 sg=R-3 pbc="T T T"
Nd 5.3784 -5.2421 8.6494
Nd 2.1488 -6.3170 7.9174
Nd 5.4886 -1.7627 8.6009
Nd 3.1331 -3.9355 10.9137
Nd 2.2882 -2.8741 7.9705
Nd -0.0673 -5.0469 10.2832
Nd 3.2725 -0.4926 10.9667
Nd 0.0429 -1.5674 10.2347
Ho 3.5334 -2.9006 14.0854
Ho 3.1670 -0.6556 5.6047
Ho -0.2600 -1.4583 6.2991
Ho 5.6813 -5.3513 12.5851
Ho 2.2543 -6.1540 13.2794
Ho 1.8879 -3.9090 4.7987
Sc 0.0000 0.0000 0.0000



5
Lattice="3.1268 0.0000 0.0000 0.0000 3.1268 0.0000 1.5634 1.5634 9.7146" Properties=species:S:1:pos:R:3 comment="YN2Cl2 PBE relaxed" final_energy_ry_per_atom=-0.33821 crystal_system=tetragonal sg=I4/mmm pbc="T T T"
Y 0.0000 0.0000 0.0000
N 3.1268 1.5634 4.8573
N 1.5634 3.1268 4.8573
Cl 1.5634 1.5634 1.6431
Cl 3.1268 3.1268 8.0716



12
Lattice="4.8646 0.0007 0.0000 -2.4345 4.2117 0.0000 0.0000 0.0000 7.2899" Properties=species:S:1:pos:R:3 comment="AlSi2Ni3 PBE relaxed" final_energy_ry_per_atom=-0.40010 crystal_system=hexagonal sg=P6_3/mmc pbc="T T T"
Ni 2.4322 2.7572 1.8225
Ni 1.2607 0.7266 1.8225
Ni 3.6052 0.7273 1.8225
Ni -0.0020 1.4551 5.4674
Ni 1.1694 3.4857 5.4674
Ni -1.1750 3.4851 5.4674
Si -0.0017 2.8081 0.4545
Si 2.4319 1.4042 4.0994
Si 2.4319 1.4042 6.8354
Si -0.0017 2.8081 3.1905
Al 0.0000 0.0000 0.0000
Al 0.0000 0.0000 3.6450